<w>
{
  "formula": "CsRb2AuCl",
  "functional": "PBE-GGA",
  "state": "relaxed",
  "lattice": [[-2.813, -3.141, 2.954], [7.392, 3.787, 6.578], [-5.698, 7.218, 2.248]],
  "species": ["Cl", "Cl", "Rb", "Rb", "Rb", "Rb", "Cs", "Cs", "Au", "Au"],
  "frac_coords": [[0.000, 0.000, 0.000], [0.000, 0.000, 0.500], [0.835, 0.670, 0.502], [0.835, 0.670, 0.998], [0.165, 0.330, 0.498], [0.165, 0.330, 0.002], [0.513, 0.027, 0.750], [0.487, 0.973, 0.250], [0.695, 0.389, 0.750], [0.305, 0.611, 0.250]],
  "sg": "Cmcm",
  "vol_a3_per_atom": 50.08,
  "n_ef_per_ev_atom": 0.600
}

<x>
{
  "formula": "CsRb2AuCl",
  "functional": "PBE-GGA",
  "state": "relaxed",
  "lattice": [[6.267, 0.000, 0.000], [0.000, 6.267, 0.000], [0.000, 0.000, 6.682]],
  "species": ["Rb", "Rb", "Cl", "Au", "Cs"],
  "frac_coords": [[0.000, 0.500, 0.000], [0.500, 0.000, 0.000], [0.000, 0.000, 0.000], [0.500, 0.500, 0.500], [0.000, 0.000, 0.500]],
  "sg": "P4/mmm",
  "vol_a3_per_atom": 52.49,
  "n_ef_per_ev_atom": 0.618
}

The structure with the greatest stability is <w>.

<w>
{
  "formula": "CuGeAuCl2",
  "functional": "PBE-GGA",
  "state": "relaxed",
  "lattice": [[4.955, 0.000, 0.000], [0.000, 5.257, 0.000], [0.000, 0.000, 4.955]],
  "species": ["Cu", "Ge", "Cl", "Cl", "Au"],
  "frac_coords": [[0.500, 0.500, 0.500], [0.000, 0.500, 0.000], [0.000, 0.000, 0.500], [0.500, 0.000, 0.000], [0.000, 0.000, 0.000]],
  "sg": "P4/mmm",
  "vol_a3_per_atom": 25.81,
  "n_ef_per_ev_atom": 0.509
}

<x>
{
  "formula": "CuGeAuCl2",
  "functional": "PBE-GGA",
  "state": "relaxed",
  "lattice": [[4.453, 0.000, 0.000], [0.000, 5.657, 0.000], [0.000, 0.000, 4.453]],
  "species": ["Ge", "Cu", "Cl", "Cl", "Au"],
  "frac_coords": [[0.500, 0.500, 0.500], [0.000, 0.000, 0.000], [0.000, 0.000, 0.500], [0.500, 0.000, 0.000], [0.000, 0.500, 0.000]],
  "sg": "P4/mmm",
  "vol_a3_per_atom": 22.43,
  "n_ef_per_ev_atom": 0.115
}

The structure with the greatest stability is <x>.

<w>
{
  "formula": "CuAuSCl2",
  "functional": "PBE-GGA",
  "state": "relaxed",
  "lattice": [[-2.311, -1.409, -3.539], [-3.402, -1.097, 2.659], [-1.993, 4.751, -0.590]],
  "species": ["Cl", "Cl", "Au", "S", "Cu"],
  "frac_coords": [[0.500, 0.000, 0.000], [0.000, 0.500, 0.000], [0.500, 0.500, 0.500], [0.000, 0.000, 0.500], [0.000, 0.000, 0.000]],
  "sg": "P4/mmm",
  "vol_a3_per_atom": 20.59,
  "n_ef_per_ev_atom": 0.878
}

<x>
{
  "formula": "CuAuSCl2",
  "functional": "PBE-GGA",
  "state": "relaxed",
  "lattice": [[-1.678, 2.321, 4.007], [-0.171, -4.290, 2.413], [4.665, 0.688, 1.555]],
  "species": ["Cl", "Cl", "Au", "Cu", "S"],
  "frac_coords": [[0.500, 0.000, 0.000], [0.000, 0.500, 0.000], [0.000, 0.000, 0.000], [0.500, 0.500, 0.500], [0.000, 0.000, 0.500]],
  "sg": "P4/mmm",
  "vol_a3_per_atom": 24.09,
  "n_ef_per_ev_atom": 1.149
}

The structure with the greatest stability is <w>.

<w>
{
  "formula": "AuClF",
  "functional": "PBE-GGA",
  "state": "relaxed",
  "lattice": [[-4.718, -2.328, -1.839], [0.741, -4.668, -4.412], [1.453, -4.485, 2.000]],
  "species": ["Cl", "Cl", "Au", "Au", "F", "F"],
  "frac_coords": [[0.606, 0.287, 0.857], [0.394, 0.713, 0.143], [0.383, 0.734, 0.632], [0.617, 0.266, 0.368], [0.809, 0.882, 0.562], [0.191, 0.118, 0.438]],
  "sg": "P-1",
  "vol_a3_per_atom": 24.91,
  "n_ef_per_ev_atom": 0.224
}

<x>
{
  "formula": "AuClF",
  "functional": "PBE-GGA",
  "state": "relaxed",
  "lattice": [[-3.382, 1.161, 0.571], [-4.351, -3.861, -5.677], [-1.801, -2.067, 4.975]],
  "species": ["F", "F", "Au", "Au", "Cl", "Cl"],
  "frac_coords": [[0.089, 0.918, 0.976], [0.358, 0.272, 0.064], [0.708, 0.315, 0.318], [0.738, 0.877, 0.722], [0.026, 0.371, 0.623], [0.419, 0.822, 0.418]],
  "sg": "P1",
  "vol_a3_per_atom": 23.81,
  "n_ef_per_ev_atom": 0.704
}

<y>
{
  "formula": "AuClF",
  "functional": "PBE-GGA",
  "state": "relaxed",
  "lattice": [[4.649, -0.440, -0.515], [0.927, 6.163, 0.695], [1.106, 2.560, 5.047]],
  "species": ["Cl", "Cl", "Au", "Au", "F", "F"],
  "frac_coords": [[0.720, 0.785, 0.018], [0.280, 0.215, 0.982], [0.580, 0.928, 0.332], [0.420, 0.072, 0.668], [0.148, 0.320, 0.386], [0.852, 0.680, 0.614]],
  "sg": "P-1",
  "vol_a3_per_atom": 23.39
}

The structure with the greatest stability is <y>.

<w>
{
  "formula": "AuClF3",
  "functional": "PBE-GGA",
  "state": "relaxed",
  "lattice": [[-2.388, -3.529, -0.585], [1.342, -1.536, 3.787], [-3.316, 1.920, 1.954]],
  "species": ["F", "F", "F", "Cl", "Au"],
  "frac_coords": [[0.500, 0.000, 0.000], [0.000, 0.500, 0.000], [0.000, 0.000, 0.500], [0.500, 0.500, 0.500], [0.000, 0.000, 0.000]],
  "sg": "Pm-3m",
  "vol_a3_per_atom": 15.92,
  "n_ef_per_ev_atom": 1.727
}

<x>
{
  "formula": "AuClF3",
  "functional": "PBE-GGA",
  "state": "relaxed",
  "lattice": [[-1.819, -3.499, -2.740], [4.772, -2.588, 0.131], [-1.829, -3.689, 5.924]],
  "species": ["F", "F", "F", "F", "F", "F", "Au", "Au", "Cl", "Cl"],
  "frac_coords": [[0.986, 0.980, 0.704], [0.967, 0.544, 0.345], [0.486, 0.373, 0.198], [0.857, 0.510, 0.847], [0.357, 0.843, 0.054], [0.467, 0.810, 0.557], [0.667, 0.699, 0.200], [0.167, 0.653, 0.701], [0.902, 0.057, 0.192], [0.402, 0.295, 0.709]],
  "sg": "P2_1",
  "vol_a3_per_atom": 18.80,
  "n_ef_per_ev_atom": 0.180
}

<y>
{
  "formula": "AuClF3",
  "functional": "PBE-GGA",
  "state": "relaxed",
  "lattice": [[3.977, 0.596, -0.805], [1.991, 7.771, -2.499], [-0.769, -4.419, 9.287]],
  "species": ["F", "F", "F", "F", "F", "F", "Cl", "Cl", "Au", "Au"],
  "frac_coords": [[0.843, 0.734, 0.701], [0.232, 0.235, 0.718], [0.136, 0.065, 0.336], [0.508, 0.393, 0.540], [0.860, 0.907, 0.514], [0.526, 0.565, 0.354], [0.560, 0.532, 0.948], [0.808, 0.768, 0.107], [0.382, 0.899, 0.537], [0.986, 0.401, 0.518]],
  "sg": "P-1",
  "vol_a3_per_atom": 23.55,
  "n_ef_per_ev_atom": 0.212
}

<z>
{
  "formula": "AuClF3",
  "functional": "PBE-GGA",
  "state": "relaxed",
  "lattice": [[-3.020, -1.955, -2.400], [0.210, -3.475, 2.566], [-3.089, 1.676, 2.521]],
  "species": ["F", "F", "F", "Au", "Cl"],
  "frac_coords": [[0.000, 0.500, 0.000], [0.000, 0.000, 0.500], [0.500, 0.000, 0.000], [0.500, 0.500, 0.500], [0.000, 0.000, 0.000]],
  "sg": "Pm-3m",
  "vol_a3_per_atom": 16.18,
  "n_ef_per_ev_atom": 0.306
}

The structure with the greatest stability is <y>.

<w>
{
  "formula": "AuN2ClF",
  "functional": "PBE-GGA",
  "state": "relaxed",
  "lattice": [[-0.102, 1.426, -3.941], [-3.775, -1.744, -0.533], [-1.866, 3.624, 1.360]],
  "species": ["N", "N", "F", "Au", "Cl"],
  "frac_coords": [[0.500, 0.000, 0.000], [0.000, 0.500, 0.000], [0.000, 0.000, 0.500], [0.000, 0.000, 0.000], [0.500, 0.500, 0.500]],
  "sg": "P4/mmm",
  "vol_a3_per_atom": 15.10,
  "n_ef_per_ev_atom": 0.758
}

<x>
{
  "formula": "AuN2ClF",
  "functional": "PBE-GGA",
  "state": "relaxed",
  "lattice": [[4.005, 0.000, 0.000], [0.000, 4.005, 0.000], [0.000, 0.000, 3.979]],
  "species": ["F", "N", "N", "Au", "Cl"],
  "frac_coords": [[0.000, 0.000, 0.500], [0.000, 0.500, 0.000], [0.500, 0.000, 0.000], [0.500, 0.500, 0.500], [0.000, 0.000, 0.000]],
  "sg": "P4/mmm",
  "vol_a3_per_atom": 12.77,
  "n_ef_per_ev_atom": 0.680
}

The structure with the greatest stability is <w>.